#w
The following is a DFT calculation (PBE-GGA) of Sm4HgAu2 after structural relaxation.

Lattice parameters (Å, degrees): 8.9398 8.9398 8.9398 33.77 33.77 33.77
Fractional coordinates of all 7 atoms:
Sm 0.1203 0.1203 0.1203
Sm 0.3719 0.3719 0.3719
Sm 0.6281 0.6281 0.6281
Sm 0.8797 0.8797 0.8797
Hg 0.5000 0.5000 0.5000
Au 0.2517 0.2517 0.2517
Au 0.7483 0.7483 0.7483

**Total moment**: 0.000 μB/atom
**Fermi-level density of states**: 9.22 states/eV/cell

#x
The following is a DFT calculation (PBE-GGA) of Sm4HgAu2 after structural relaxation.

Lattice parameters (Å, degrees): 10.1239 10.1239 10.1239 28.48 28.48 28.48
Fractional coordinates of all 7 atoms:
Sm 0.1191 0.1191 0.1191
Sm 0.2956 0.2956 0.2956
Sm 0.7044 0.7044 0.7044
Sm 0.8809 0.8809 0.8809
Hg 0.5000 0.5000 0.5000
Au 0.3985 0.3985 0.3985
Au 0.6015 0.6015 0.6015

**Total moment**: 0.000 μB/atom
**Fermi-level density of states**: 9.29 states/eV/cell

Which structure is the least stable? The one labeled #x.

#w
The following is a DFT calculation (PBE-GGA) of SmHgAu2 after structural relaxation.

Lattice parameters (Å, degrees): 5.0105 5.0105 5.0105 60.00 60.00 60.00
Fractional coordinates of all 4 atoms:
Sm 0.0000 0.0000 0.0000
Hg 0.5000 0.5000 0.5000
Au 0.2500 0.2500 0.2500
Au 0.7500 0.7500 0.7500

**Total moment**: 0.000 μB/atom
**Fermi-level density of states**: 3.50 states/eV/cell

#x
The following is a DFT calculation (PBE-GGA) of SmHgAu2 after structural relaxation.

Lattice parameters (Å, degrees): 5.1068 6.7698 5.1346 90.00 90.00 90.00
Fractional coordinates of all 8 atoms:
Sm 0.2500 0.2500 0.1848
Sm 0.7500 0.7500 0.8152
Hg 0.2500 0.7500 0.1974
Hg 0.7500 0.2500 0.8026
Au 0.2500 0.5038 0.6830
Au 0.2500 0.9962 0.6830
Au 0.7500 0.0038 0.3170
Au 0.7500 0.4962 0.3170

**Total moment**: 0.000 μB/atom
**Fermi-level density of states**: 4.53 states/eV/cell

Which structure is the least stable? The one labeled #w.

#w
The following is a DFT calculation (PBE-GGA) of Sm3HgAu after structural relaxation.

Lattice parameters (Å, degrees): 10.2938 10.2938 5.2782 90.00 90.00 150.25
Fractional coordinates of all 10 atoms:
Sm 0.0630 0.9370 0.7500
Sm 0.2491 0.7509 0.7500
Sm 0.4342 0.5658 0.7500
Sm 0.5658 0.4342 0.2500
Sm 0.7509 0.2491 0.2500
Sm 0.9370 0.0630 0.2500
Hg 0.1534 0.8466 0.2500
Hg 0.8466 0.1534 0.7500
Au 0.3407 0.6593 0.2500
Au 0.6593 0.3407 0.7500

**Total moment**: 0.000 μB/atom
**Fermi-level density of states**: 10.42 states/eV/cell

#x
The following is a DFT calculation (PBE-GGA) of Sm3HgAu after structural relaxation.

Lattice parameters (Å, degrees): 3.9498 9.3522 9.3522 64.36 90.00 90.00
Fractional coordinates of all 10 atoms:
Sm 0.0000 0.0000 0.0000
Sm 0.0000 0.3117 0.3117
Sm 0.5000 0.3491 0.7388
Sm 0.5000 0.5718 0.9620
Sm 0.5000 0.7388 0.3491
Sm 0.5000 0.9620 0.5718
Hg 0.0000 0.6554 0.6554
Hg 0.5000 0.1558 0.1558
Au 0.0000 0.1550 0.6559
Au 0.0000 0.6559 0.1550

**Total moment**: 0.000 μB/atom
**Fermi-level density of states**: 9.34 states/eV/cell

Which structure is the least stable? The one labeled #x.

#w
The following is a DFT calculation (PBE-GGA) of Sm8HgAu2 after structural relaxation.

Lattice parameters (Å, degrees): 9.6061 9.6061 7.1215 106.09 106.09 31.49
Fractional coordinates of all 11 atoms:
Sm 0.0275 0.0275 0.2673
Sm 0.1986 0.1986 0.8323
Sm 0.3292 0.3292 0.5184
Sm 0.4081 0.4081 0.0331
Sm 0.5919 0.5919 0.9669
Sm 0.6708 0.6708 0.4816
Sm 0.8014 0.8014 0.1677
Sm 0.9725 0.9725 0.7327
Hg 0.5000 0.5000 0.5000
Au 0.1811 0.1811 0.2306
Au 0.8189 0.8189 0.7694

**Total moment**: 0.000 μB/atom
**Fermi-level density of states**: 10.75 states/eV/cell

#x
The following is a DFT calculation (PBE-GGA) of Sm8HgAu2 after structural relaxation.

Lattice parameters (Å, degrees): 9.0250 9.0250 9.0250 147.53 124.92 65.41
Fractional coordinates of all 11 atoms:
Sm 0.1138 0.3338 0.7800
Sm 0.1324 0.1324 0.0000
Sm 0.3179 0.0000 0.3179
Sm 0.4463 0.6662 0.7800
Sm 0.5537 0.3338 0.2200
Sm 0.6821 0.0000 0.6821
Sm 0.8676 0.8676 0.0000
Sm 0.8862 0.6662 0.2200
Hg 0.0000 0.5000 0.5000
Au 0.3018 0.8018 0.5000
Au 0.6982 0.1982 0.5000

**Total moment**: 0.000 μB/atom
**Fermi-level density of states**: 14.26 states/eV/cell

Which structure is the least stable? The one labeled #x.

#w
The following is a DFT calculation (PBE-GGA) of Sm4HgAu3 after structural relaxation.

Lattice parameters (Å, degrees): 3.8444 4.8126 11.3197 90.00 90.00 90.00
Fractional coordinates of all 8 atoms:
Sm 0.0000 0.0000 0.0000
Sm 0.0000 0.5000 0.2682
Sm 0.5000 0.0000 0.4870
Sm 0.5000 0.5000 0.7730
Hg 0.0000 0.0000 0.7179
Au 0.0000 0.5000 0.5428
Au 0.5000 0.0000 0.2181
Au 0.5000 0.5000 0.0461

**Total moment**: 0.000 μB/atom
**Fermi-level density of states**: 5.81 states/eV/cell

#x
The following is a DFT calculation (PBE-GGA) of Sm4HgAu3 after structural relaxation.

Lattice parameters (Å, degrees): 3.6922 5.2498 10.4821 90.00 90.00 90.00
Fractional coordinates of all 8 atoms:
Sm 0.0000 0.0000 0.0000
Sm 0.0000 0.0000 0.5000
Sm 0.0000 0.5000 0.2418
Sm 0.0000 0.5000 0.7582
Hg 0.5000 0.5000 0.5000
Au 0.5000 0.0000 0.2541
Au 0.5000 0.0000 0.7459
Au 0.5000 0.5000 0.0000

**Total moment**: 0.000 μB/atom
**Fermi-level density of states**: 6.65 states/eV/cell

Which structure is the least stable? The one labeled #x.

#w
The following is a DFT calculation (PBE-GGA) of Sm2HgAu after structural relaxation.

Lattice parameters (Å, degrees): 5.2782 5.2782 5.2782 60.00 60.00 60.00
Fractional coordinates of all 4 atoms:
Sm 0.2500 0.2500 0.2500
Sm 0.7500 0.7500 0.7500
Hg 0.0000 0.0000 0.0000
Au 0.5000 0.5000 0.5000

**Total moment**: 0.000 μB/atom
**Fermi-level density of states**: 2.82 states/eV/cell

#x
The following is a DFT calculation (PBE-GGA) of Sm2HgAu after structural relaxation.

Lattice parameters (Å, degrees): 8.3543 8.3543 8.3543 28.47 28.47 28.47
Fractional coordinates of all 4 atoms:
Sm 0.0000 0.0000 0.0000
Sm 0.1809 0.1809 0.1809
Hg 0.7570 0.7570 0.7570
Au 0.5914 0.5914 0.5914

**Total moment**: 0.000 μB/atom
**Fermi-level density of states**: 3.69 states/eV/cell

Which structure is the least stable? The one labeled #x.

#w
The following is a DFT calculation (PBE-GGA) of Sm2HgAu after structural relaxation.

Lattice parameters (Å, degrees): 8.5624 8.5624 8.5624 27.31 27.31 27.31
Fractional coordinates of all 4 atoms:
Sm 0.2434 0.2434 0.2434
Sm 0.7566 0.7566 0.7566
Hg 0.0000 0.0000 0.0000
Au 0.5000 0.5000 0.5000

**Total moment**: 0.000 μB/atom
**Fermi-level density of states**: 4.71 states/eV/cell

#x
The following is a DFT calculation (PBE-GGA) of Sm2HgAu after structural relaxation.

Lattice parameters (Å, degrees): 3.7333 3.7333 7.4726 90.00 90.00 90.00
Fractional coordinates of all 4 atoms:
Sm 0.0000 0.0000 0.2387
Sm 0.0000 0.0000 0.7613
Hg 0.5000 0.5000 0.5000
Au 0.5000 0.5000 0.0000

**Total moment**: 0.000 μB/atom
**Fermi-level density of states**: 3.22 states/eV/cell

Which structure is the least stable? The one labeled #w.